(1)
AcPuMgTl | PBE | relaxed

Output
Raw total energy (eV/atom): -5.61
Total moment (μB/f.u.): 6.4
Energy of formation from the pure elements (meV/atom): -13
D(E_F) (states/eV per cell): 10.66
Space group: F-43m

```
AcPuMgTl
1.0
5.629 0.000 0.000
2.815 4.875 0.000
2.815 1.625 4.596
Ac Tl Mg Pu
1 1 1 1
Cartesian
8.444 4.875 3.447 Ac
0.000 0.000 0.000 Tl
5.629 3.250 2.298 Mg
2.815 1.625 1.149 Pu
```

(2)
Ac2TbNdSe6 | PBE | relaxed

Output
Raw total energy (eV/atom): -5.77
Total moment (μB/f.u.): 0.0
Formation energy without anion corrections (eV per atom): -1.92
D(E_F) (states/eV per cell): 0.00
Space group: R3

```
Ac2TbNdSe6
1.0
-0.300 -3.303 6.890
4.426 -6.043 1.537
6.146 0.924 4.952
Se Ac Nd Tb
6 2 1 1
Cartesian
6.617 -2.325 5.196 Se
5.742 -6.146 4.067 Se
3.949 -6.516 8.756 Se
4.956 -2.212 8.679 Se
2.260 -2.897 5.695 Se
7.598 -4.912 7.886 Se
4.768 -4.523 6.524 Ac
5.795 0.627 4.795 Ac
6.766 -7.111 9.613 Nd
1.605 -2.920 2.913 Tb
```

(3)
CuSBrO | PBE | relaxed

Output
Raw total energy (eV/atom): -3.29
Total moment (μB/f.u.): 0.6
Formation energy without anion corrections (eV per atom): 0.42
Excess energy over the best structure of this formula in the dataset (eV/atom): 0.886
D(E_F) (states/eV per cell): 7.29
Space group: P4/nmm

```
CuSBrO
1.0
4.347 0.000 0.000
0.000 4.347 0.000
0.000 0.000 7.817
Cu O S Br
2 2 2 2
Cartesian
2.174 2.174 3.908 Cu
0.000 0.000 3.908 Cu
0.000 0.000 0.000 O
2.174 2.174 0.000 O
0.000 2.174 4.786 S
2.174 0.000 3.031 S
0.000 2.174 0.392 Br
2.174 0.000 7.425 Br
```

(4)
K4LiZr | PBE | relaxed

Output
Raw total energy (eV/atom): -1.63
Total moment (μB/f.u.): 3.5
Energy of formation from the pure elements (meV/atom): 844
D(E_F) (states/eV per cell): 10.91
Space group: F-43m

```
K4LiZr
1.0
0.000 5.294 5.294
5.294 0.000 5.294
5.294 5.294 0.000
K Zr Li
4 1 1
Cartesian
6.623 6.623 3.965 K
6.623 3.965 6.623 K
3.965 3.965 3.965 K
3.965 6.623 6.623 K
0.000 0.000 0.000 Zr
7.942 7.942 7.942 Li
```